{
  "formula": "BaVInF6",
  "functional": "GGA+U",
  "state": "relaxed",
  "energy_ev_per_cell": -49.83,
  "magnetic_moment_mub_per_fu": 1.99,
  "lattice_angstrom": [[4.7237, 0.0000, 0.0000], [0.0089, 5.9086, 0.0000], [0.0090, 2.9497, 5.1247]],
  "species": ["Ba", "V", "In", "F", "F", "F", "F", "F", "F"],
  "fractional_positions": [[0.0000, 0.0000, 0.0000], [0.6797, 0.6664, 0.6665], [0.4616, 0.3332, 0.3335], [0.4669, 0.8406, 0.8277], [0.4686, 0.3306, 0.8402], [0.4687, 0.8277, 0.3308], [0.9166, 0.5153, 0.9847], [0.9166, 0.9848, 0.5002], [0.9180, 0.4993, 0.5154]]
}